# 1
This record from Alexandria describes a relaxed structure of TbErTePb. The functional is PBE.

**Space group**: P4/mmm (123)
**Total moment**: 0.00 Bohr magnetons per cell
**Formation energy from raw total energies**: -0.923 eV/atom
**Calculated volume**: 120.3 Å³ per cell

Unit cell a=4.4025 b=4.4051 c=6.2026 alpha=90.01 beta=90.00 gamma=90.00
Last column: nearest neighbours and their distance in Å.
Fractional coordinates of all 4 atoms:
Pb (0.0000, 0.8915, 0.0924)  2 Er 3.10, 4 Tb 3.11
Te (0.5000, 0.3916, 0.5925)  2 Tb 3.10, 4 Er 3.11
Tb (0.5000, 0.3915, 0.0925)  2 Te 3.10, 4 Pb 3.11
Er (0.0000, 0.8915, 0.5924)  2 Pb 3.10, 4 Te 3.11

***

# 2
This record from Alexandria describes a relaxed structure of TbErTlPb. The functional is PBE.

**Space group**: I-4m2 (119)
**Total moment**: 0.00 Bohr magnetons per cell
**Energy relative to the lowest polymorph listed for this composition**: 0 meV/atom
**ΔE_f**: -381 meV per atom
**Calculated volume**: 110.2 Å³ per cell

Unit cell a=5.0051 b=5.0053 c=5.6458 alpha=116.31 beta=116.31 gamma=90.00
Last column: nearest neighbours and their distance in Å.
Fractional coordinates of all 4 atoms:
Pb (0.5000, 0.5000, 0.0000)  4 Er 3.33, 4 Tb 3.33, 4 Tl 3.54
Tl (0.0000, 0.0001, 0.0000)  4 Tb 3.33, 4 Er 3.33, 4 Pb 3.54
Er (0.2500, 0.7499, 0.5000)  4 Tl 3.33, 4 Pb 3.33, 4 Tb 3.54
Tb (0.7500, 0.2499, 0.5000)  4 Tl 3.33, 4 Pb 3.33, 4 Er 3.54

***

# 3
This record from Alexandria describes a relaxed structure of TbErTlPb. The functional is PBE.

**Space group**: F-43m (216)
**Total moment**: 0.00 Bohr magnetons per cell
**Energy relative to the lowest polymorph listed for this composition**: 37 meV/atom
**ΔE_f**: -344 meV per atom
**Calculated volume**: 111.3 Å³ per cell

Unit cell a=5.3985 b=5.3985 c=5.3985 alpha=60.00 beta=60.00 gamma=60.00
Last column: nearest neighbours and their distance in Å.
Fractional coordinates of all 4 atoms:
Tl (0.0000, 0.0000, 0.0000)  4 Er 3.31, 4 Tb 3.31
Pb (0.5000, 0.5000, 0.5000)  4 Tb 3.31, 4 Er 3.31
Er (0.7500, 0.7500, 0.7500)  4 Tl 3.31, 4 Pb 3.31
Tb (0.2500, 0.2500, 0.2500)  4 Tl 3.31, 4 Pb 3.31

***

# 4
This record from Alexandria describes a relaxed structure of Tb3Er6Tm2Pb. The functional is PBE.

**Space group**: C2/m (12)
**Total moment**: 0.05 Bohr magnetons per cell
**ΔE_f**: -43 meV per atom
**Calculated volume**: 362.3 Å³ per cell

Unit cell a=6.0640 b=6.0640 c=11.5592 alpha=95.06 beta=95.06 gamma=120.02
Last column: nearest neighbours and their distance in Å.
Fractional coordinates of all 12 atoms:
Tm (0.6659, 0.3341, 0.0000)  6 Er 3.46-3.47, 3 Tm 3.49-3.51, 3 Pb 3.50-3.51
Pb (0.0000, 0.0000, 0.0000)  6 Er 3.44-3.47, 6 Tm 3.50-3.51
Tb (0.1670, 0.8330, 0.5000)  6 Tb 3.50-3.51, 6 Er 3.50-3.53
Er (0.4114, 0.0813, 0.2465)  1 Pb 3.44, 2 Tm 3.46-3.47, 6 Er 3.47-3.52, 3 Tb 3.52-3.53
Er (0.5886, 0.9187, 0.7535)  1 Pb 3.44, 2 Tm 3.46-3.47, 6 Er 3.47-3.52, 3 Tb 3.52-3.53
Er (0.7516, 0.7516, 0.2482)  6 Er 3.47-3.52, 1 Pb 3.47, 2 Tm 3.47, 3 Tb 3.50-3.52
Tm (0.3341, 0.6659, 0.0000)  6 Er 3.46-3.47, 3 Tm 3.49-3.51, 3 Pb 3.50-3.51
Er (0.0813, 0.4114, 0.2465)  1 Pb 3.44, 2 Tm 3.46-3.47, 6 Er 3.47-3.52, 3 Tb 3.52-3.53
Tb (0.5000, 0.5000, 0.5000)  6 Tb 3.50, 6 Er 3.52
Er (0.2484, 0.2484, 0.7518)  6 Er 3.47-3.52, 1 Pb 3.47, 2 Tm 3.47, 3 Tb 3.50-3.52
Er (0.9187, 0.5886, 0.7535)  1 Pb 3.44, 2 Tm 3.46-3.47, 6 Er 3.47-3.52, 3 Tb 3.52-3.53
Tb (0.8330, 0.1670, 0.5000)  6 Tb 3.50-3.51, 6 Er 3.50-3.53

***

# 5
This record from Alexandria describes a relaxed structure of Tb2Er3Tm6Pb. The functional is PBE.

**Space group**: C2/m (12)
**Total moment**: 0.00 Bohr magnetons per cell
**ΔE_f**: -52 meV per atom
**Calculated volume**: 358.0 Å³ per cell

Unit cell a=6.0246 b=6.0246 c=11.5708 alpha=95.00 beta=95.00 gamma=120.04
Last column: nearest neighbours and their distance in Å.
Fractional coordinates of all 12 atoms:
Tm (0.0824, 0.4120, 0.2497)  6 Tm 3.44-3.50, 1 Pb 3.47, 3 Er 3.48-3.50, 2 Tb 3.49
Tm (0.2468, 0.2468, 0.7492)  6 Tm 3.44-3.50, 3 Er 3.47-3.49, 1 Pb 3.48, 2 Tb 3.49
Er (0.1670, 0.8330, 0.5000)  6 Tm 3.47-3.50, 6 Er 3.47-3.48
Tm (0.4120, 0.0824, 0.2497)  6 Tm 3.44-3.50, 1 Pb 3.47, 3 Er 3.48-3.50, 2 Tb 3.49
Tm (0.5880, 0.9176, 0.7503)  6 Tm 3.44-3.50, 1 Pb 3.47, 3 Er 3.48-3.50, 2 Tb 3.49
Tm (0.7532, 0.7532, 0.2508)  6 Tm 3.44-3.50, 3 Er 3.47-3.49, 1 Pb 3.48, 2 Tb 3.49
Tb (0.3339, 0.6661, 0.0000)  3 Tb 3.47-3.48, 3 Pb 3.47-3.48, 6 Tm 3.49
Tm (0.9176, 0.5880, 0.7503)  6 Tm 3.44-3.50, 1 Pb 3.47, 3 Er 3.48-3.50, 2 Tb 3.49
Pb (0.0000, 0.0000, 0.0000)  6 Tm 3.47-3.48, 6 Tb 3.47-3.48
Er (0.5000, 0.5000, 0.5000)  6 Er 3.48, 6 Tm 3.48-3.49
Tb (0.6661, 0.3339, 0.0000)  3 Tb 3.47-3.48, 3 Pb 3.47-3.48, 6 Tm 3.49
Er (0.8330, 0.1670, 0.5000)  6 Tm 3.47-3.50, 6 Er 3.47-3.48

***

# 6
This record from Alexandria describes a relaxed structure of Tb2Y3Er6Pb. The functional is PBE.

**Space group**: C2/m (12)
**Total moment**: 0.00 Bohr magnetons per cell
**ΔE_f**: -49 meV per atom
**Calculated volume**: 366.5 Å³ per cell

Unit cell a=6.0769 b=6.0769 c=11.6425 alpha=95.01 beta=95.01 gamma=120.03
Last column: nearest neighbours and their distance in Å.
Fractional coordinates of all 12 atoms:
Pb (0.0000, 0.0000, 0.0000)  6 Er 3.47-3.49, 6 Tb 3.51
Er (0.5892, 0.9185, 0.7523)  6 Er 3.46-3.53, 1 Pb 3.47, 2 Tb 3.49-3.50, 3 Y 3.52-3.55
Y (0.8332, 0.1668, 0.5000)  6 Y 3.51, 6 Er 3.52-3.55
Er (0.7527, 0.7527, 0.2487)  6 Er 3.46-3.53, 1 Pb 3.49, 2 Tb 3.50, 3 Y 3.52-3.53
Er (0.4108, 0.0815, 0.2477)  6 Er 3.46-3.53, 1 Pb 3.47, 2 Tb 3.49-3.50, 3 Y 3.52-3.55
Y (0.5000, 0.5000, 0.5000)  6 Y 3.51, 6 Er 3.52-3.53
Tb (0.6662, 0.3338, 0.0000)  6 Er 3.49-3.50, 3 Tb 3.50-3.51, 3 Pb 3.51
Tb (0.3338, 0.6662, 0.0000)  6 Er 3.49-3.50, 3 Tb 3.50-3.51, 3 Pb 3.51
Y (0.1668, 0.8332, 0.5000)  6 Y 3.51, 6 Er 3.52-3.55
Er (0.2473, 0.2473, 0.7513)  6 Er 3.46-3.53, 1 Pb 3.49, 2 Tb 3.50, 3 Y 3.52-3.53
Er (0.0815, 0.4108, 0.2477)  6 Er 3.46-3.53, 1 Pb 3.47, 2 Tb 3.49-3.50, 3 Y 3.52-3.55
Er (0.9185, 0.5892, 0.7523)  6 Er 3.46-3.53, 1 Pb 3.47, 2 Tb 3.49-3.50, 3 Y 3.52-3.55

***

# 7
This record from Alexandria describes a relaxed structure of TbErZnPb. The functional is PBE.

**Space group**: F-43m (216)
**Total moment**: 0.00 Bohr magnetons per cell
**ΔE_f**: -358 meV per atom
**Calculated volume**: 101.1 Å³ per cell

Unit cell a=5.2286 b=5.2286 c=5.2286 alpha=60.00 beta=60.00 gamma=60.00
Last column: nearest neighbours and their distance in Å.
Fractional coordinates of all 4 atoms:
Tb (0.7500, 0.7500, 0.7500)  4 Pb 3.20, 4 Zn 3.20
Er (0.2500, 0.2500, 0.2500)  4 Pb 3.20, 4 Zn 3.20
Zn (0.0000, 0.0000, 0.0000)  4 Tb 3.20, 4 Er 3.20
Pb (0.5000, 0.5000, 0.5000)  4 Er 3.20, 4 Tb 3.20

***

# 8
This record from Alexandria describes a relaxed structure of Er3TcPb. The functional is PBE.

**Space group**: Pmma (51)
**Total moment**: 0.00 Bohr magnetons per cell
**Energy relative to the lowest polymorph listed for this composition**: 11 meV/atom
**ΔE_f**: -176 meV per atom
**Calculated volume**: 257.8 Å³ per cell

Unit cell a=3.3794 b=8.0974 c=9.4197 alpha=90.00 beta=90.00 gamma=90.00
Last column: nearest neighbours and their distance in Å.
Fractional coordinates of all 10 atoms:
Pb (0.5907, 0.1799, 0.3877)  2 Pb 3.38, 10 Er 3.44-3.47
Er (0.0902, 0.3279, 0.6834)  2 Tc 2.89
Er (0.0908, 0.6717, 0.8877)  4 Tc 2.94
Er (0.0906, 0.8967, 0.5919)  2 Tc 2.89
Er (0.0906, 0.3279, 0.0919)  2 Tc 2.89
Er (0.0908, 0.5529, 0.3877)  4 Tc 2.94
Tc (0.5909, 0.6123, 0.6377)  8 Er 2.89-2.94
Er (0.0902, 0.8967, 0.1834)  2 Tc 2.89
Pb (0.5907, 0.0447, 0.8877)  2 Pb 3.38, 10 Er 3.44-3.47
Tc (0.5909, 0.6123, 0.1377)  8 Er 2.89-2.94

***

# 9
This record from Alexandria describes a relaxed structure of Er6Tc2Pb. The functional is PBE.

**Space group**: Immm (71)
**Total moment**: 0.00 Bohr magnetons per cell
**ΔE_f**: -222 meV per atom
**Calculated volume**: 471.4 Å³ per cell

Unit cell a=8.5059 b=8.5059 c=8.5059 alpha=104.85 beta=111.74 gamma=111.93
Last column: nearest neighbours and their distance in Å.
Fractional coordinates of all 18 atoms:
Tc (0.3672, 0.0000, 0.3672)  1 Tc 2.53
Er (0.7803, 0.2382, 0.0185)  2 Tc 2.84-3.07
Er (0.9063, 0.7161, 0.1901)  3 Tc 3.00-3.19, 1 Pb 3.26
Er (0.0937, 0.2839, 0.8099)  3 Tc 3.00-3.19, 1 Pb 3.26
Tc (0.6328, 0.0000, 0.6328)  1 Tc 2.53
Er (0.7803, 0.7618, 0.5421)  2 Tc 2.84-3.07
Er (0.7015, 0.0218, 0.3203)  3 Tc 2.85-2.96
Tc (0.5000, 0.3833, 0.8833)  1 Tc 2.42
Er (0.4740, 0.2839, 0.1901)  3 Tc 3.00-3.19, 1 Pb 3.26
Er (0.2985, 0.9782, 0.6797)  3 Tc 2.85-2.96
Er (0.5260, 0.7161, 0.8099)  3 Tc 3.00-3.19, 1 Pb 3.26
Er (0.2985, 0.6188, 0.3203)  3 Tc 2.85-2.96
Pb (0.0000, 0.5000, 0.5000)  12 Er 3.40-3.60
Er (0.2197, 0.7618, 0.9815)  2 Tc 2.84-3.07
Er (0.7015, 0.3812, 0.6797)  3 Tc 2.85-2.96
Pb (0.0000, 0.0000, 0.0000)  8 Er 3.24-3.26, 2 Tc 3.51
Er (0.2197, 0.2382, 0.4579)  2 Tc 2.84-3.07
Tc (0.5000, 0.6167, 0.1167)  1 Tc 2.42

***

# 10
This record from Alexandria describes a relaxed structure of Er2TcPb. The functional is PBE.

**Space group**: R-3m (166)
**Total moment**: 0.00 Bohr magnetons per cell
**Energy relative to the lowest polymorph listed for this composition**: 152 meV/atom
**ΔE_f**: -98 meV per atom
**Calculated volume**: 99.2 Å³ per cell

Unit cell a=3.4921 b=3.4921 c=9.6110 alpha=79.53 beta=79.53 gamma=60.00
Last column: nearest neighbours and their distance in Å.
Fractional coordinates of all 4 atoms:
Er (0.7369, 0.7369, 0.7892)  3 Tc 2.83
Pb (0.5000, 0.5000, 0.5000)  6 Er 3.38, 6 Pb 3.49
Tc (0.0000, 0.0000, 0.0000)  6 Er 2.83
Er (0.2631, 0.2631, 0.2108)  3 Tc 2.83

***

# 11
This record from Alexandria describes a relaxed structure of ErTcPb. The functional is PBE.

**Space group**: R-3m (166)
**Total moment**: 0.00 Bohr magnetons per cell
**ΔE_f**: -88 meV per atom
**Calculated volume**: 156.9 Å³ per cell

Unit cell a=4.1583 b=4.1583 c=10.7499 alpha=78.85 beta=78.85 gamma=60.00
Last column: nearest neighbours and their distance in Å.
Fractional coordinates of all 6 atoms:
Pb (0.3033, 0.3033, 0.0902)  3 Pb 3.06, 3 Er 3.32
Pb (0.6967, 0.6967, 0.9098)  3 Pb 3.06, 3 Er 3.32
Tc (0.1612, 0.1612, 0.5163)  3 Tc 2.42
Tc (0.8388, 0.8388, 0.4837)  3 Tc 2.42
Er (0.4362, 0.4362, 0.6915)  6 Tc 3.02-3.24, 3 Pb 3.32
Er (0.5638, 0.5638, 0.3085)  6 Tc 3.02-3.24, 3 Pb 3.32